The following is a DFT calculation (PBE) of a relaxed structure of Sr2NpSb3Pd4.

Unit cell a=4.5926 b=4.5926 c=11.6019 alpha=90.00 beta=90.00 gamma=90.00
Closest atoms and distances in Å follow each position.
Atoms (fractional coordinates):
Sr  0.0000  0.5000  0.2238  4 Sb 3.44, 8 Pd 3.47-3.58
Sr  0.5000  0.0000  0.7762  4 Sb 3.44, 8 Pd 3.47-3.58
Np  0.0000  0.0000  0.5000  4 Pd 2.85
Sb  0.0000  0.5000  0.8747  5 Pd 2.65-2.72
Sb  0.5000  0.0000  0.1253  5 Pd 2.65-2.72
Sb  0.5000  0.5000  0.5000  4 Pd 2.85
Pd  0.0000  0.0000  0.0000  4 Sb 2.72
Pd  0.0000  0.5000  0.6461  3 Sb 2.65-2.85, 2 Np 2.85
Pd  0.5000  0.0000  0.3539  3 Sb 2.65-2.85, 2 Np 2.85
Pd  0.5000  0.5000  0.0000  4 Sb 2.72

## Properties
For the formation energy from raw total energies, the calculation gives -6.7 eV per formula unit. The uncorrected energy is -5.6146 eV per atom. As for the total moment: 4.27 Bohr magnetons per cell. As for the space group: P-4m2 (115).



The following is a DFT calculation (PBE) of a relaxed structure of Co2SnIr.

Unit cell a=3.7984 b=3.7984 c=17.9321 alpha=90.00 beta=90.00 gamma=90.00
Closest atoms and distances in Å follow each position.
Atoms (fractional coordinates):
Co  0.1915  0.2500  0.1250  2 Co 2.39, 2 Ir 2.54
Co  0.2500  0.6915  0.3750  2 Co 2.39, 2 Ir 2.54
Co  0.2500  0.8085  0.8750  2 Co 2.39, 2 Ir 2.54
Co  0.3085  0.2500  0.6250  2 Co 2.39, 2 Ir 2.54
Co  0.6915  0.7500  0.6250  2 Co 2.39, 2 Ir 2.54
Co  0.7500  0.1915  0.8750  2 Co 2.39, 2 Ir 2.54
Co  0.7500  0.3085  0.3750  2 Co 2.39, 2 Ir 2.54
Co  0.8085  0.7500  0.1250  2 Co 2.39, 2 Ir 2.54
Sn  0.0000  0.0000  0.5000  4 Ir 2.69, 4 Co 2.70
Sn  0.0000  0.5000  0.7500  4 Ir 2.69, 4 Co 2.70
Sn  0.5000  0.0000  0.2500  4 Ir 2.69, 4 Co 2.70
Sn  0.5000  0.5000  0.0000  4 Ir 2.69, 4 Co 2.70
Ir  0.0000  0.0000  0.0000  4 Co 2.54, 4 Sn 2.69
Ir  0.0000  0.5000  0.2500  4 Co 2.54, 4 Sn 2.69
Ir  0.5000  0.0000  0.7500  4 Co 2.54, 4 Sn 2.69
Ir  0.5000  0.5000  0.5000  4 Co 2.54, 4 Sn 2.69

## Properties
The uncorrected energy is -6.3245 eV per atom. As for the total moment: 13.54 Bohr magnetons per cell. Its energy of formation from the pure elements is 0.44 eV/atom. As for the space group: I-42d (122).



The following is a DFT calculation (PBE) of a relaxed structure of GdNpSnHg.

Unit cell a=7.5331 b=7.5331 c=7.5331 alpha=90.00 beta=90.00 gamma=90.00
Closest atoms and distances in Å follow each position.
Atoms (fractional coordinates):
Gd  0.0000  0.0000  0.0000  4 Hg 3.26, 4 Sn 3.26
Gd  0.0000  0.5000  0.5000  4 Hg 3.26, 4 Sn 3.26
Gd  0.5000  0.0000  0.5000  4 Hg 3.26, 4 Sn 3.26
Gd  0.5000  0.5000  0.0000  4 Hg 3.26, 4 Sn 3.26
Np  0.0000  0.0000  0.5000  4 Hg 3.26, 4 Sn 3.26
Np  0.0000  0.5000  0.0000  4 Hg 3.26, 4 Sn 3.26
Np  0.5000  0.0000  0.0000  4 Hg 3.26, 4 Sn 3.26
Np  0.5000  0.5000  0.5000  4 Hg 3.26, 4 Sn 3.26
Sn  0.2500  0.2500  0.2500  4 Gd 3.26, 4 Np 3.26
Sn  0.2500  0.7500  0.7500  4 Gd 3.26, 4 Np 3.26
Sn  0.7500  0.2500  0.7500  4 Gd 3.26, 4 Np 3.26
Sn  0.7500  0.7500  0.2500  4 Gd 3.26, 4 Np 3.26
Hg  0.2500  0.2500  0.7500  4 Gd 3.26, 4 Np 3.26
Hg  0.2500  0.7500  0.2500  4 Gd 3.26, 4 Np 3.26
Hg  0.7500  0.2500  0.2500  4 Gd 3.26, 4 Np 3.26
Hg  0.7500  0.7500  0.7500  4 Gd 3.26, 4 Np 3.26

## Properties
The uncorrected energy is -8.0269 eV per atom. As for the total moment: 49.49 Bohr magnetons per cell. Its energy of formation from the pure elements is -0.20 eV/atom. As for the space group: F-43m (216).



The following is a DFT calculation (PBE) of a relaxed structure of Tb3GaNi9Ge2.

Unit cell a=5.9474 b=5.9474 c=8.5856 alpha=90.00 beta=90.00 gamma=120.00
Closest atoms and distances in Å follow each position.
Atoms (fractional coordinates):
Tb  0.0000  0.0000  0.0000  12 Ni 2.76-2.97
Tb  0.3333  0.6667  0.7029  9 Ni 3.00-3.07
Tb  0.6667  0.3333  0.2971  9 Ni 3.00-3.07
Ga  0.0000  0.0000  0.5000  6 Ni 2.35
Ni  0.0000  0.5000  0.0000  2 Ge 2.34
Ni  0.1336  0.2671  0.2781  1 Ge 2.21, 1 Ga 2.35, 2 Ni 2.38
Ni  0.1336  0.8664  0.2781  1 Ge 2.21, 1 Ga 2.35, 2 Ni 2.38
Ni  0.2671  0.1336  0.7219  1 Ge 2.21, 1 Ga 2.35, 2 Ni 2.38
Ni  0.5000  0.0000  0.0000  2 Ge 2.34
Ni  0.5000  0.5000  0.0000  2 Ge 2.34
Ni  0.7329  0.8664  0.2781  1 Ge 2.21, 1 Ga 2.35, 2 Ni 2.38
Ni  0.8664  0.1336  0.7219  1 Ge 2.21, 1 Ga 2.35, 2 Ni 2.38
Ni  0.8664  0.7329  0.7219  1 Ge 2.21, 1 Ga 2.35, 2 Ni 2.38
Ge  0.3333  0.6667  0.1844  6 Ni 2.21-2.34
Ge  0.6667  0.3333  0.8156  6 Ni 2.21-2.34

## Properties
The uncorrected energy is -5.4249 eV per atom. As for the total moment: 0.00 Bohr magnetons per cell. Its energy of formation from the pure elements is -0.21 eV/atom. As for the space group: P-3m1 (164).



The following is a DFT calculation (PBE) of a relaxed structure of PdPb2F2.

Unit cell a=4.9955 b=4.9955 c=7.8760 alpha=90.00 beta=90.00 gamma=90.00
Closest atoms and distances in Å follow each position.
Atoms (fractional coordinates):
Pd  0.0000  0.0000  0.0000  2 F 2.67
Pd  0.5000  0.5000  0.5000  2 F 2.67
Pb  0.0000  0.5000  0.2500  4 F 2.59
Pb  0.0000  0.5000  0.7500  4 F 2.59
Pb  0.5000  0.0000  0.2500  4 F 2.59
Pb  0.5000  0.0000  0.7500  4 F 2.59
F  0.0000  0.0000  0.3386  1 F 2.54, 4 Pb 2.59, 1 Pd 2.67
F  0.0000  0.0000  0.6614  1 F 2.54, 4 Pb 2.59, 1 Pd 2.67
F  0.5000  0.5000  0.1614  1 F 2.54, 4 Pb 2.59, 1 Pd 2.67
F  0.5000  0.5000  0.8386  1 F 2.54, 4 Pb 2.59, 1 Pd 2.67

## Properties
For the formation energy from raw total energies, the calculation gives -5.0 eV per formula unit. As for the energy above the lowest structure with this stoichiometry: 148.2 meV per atom. The uncorrected energy is -4.2627 eV per atom. As for the total moment: 0.00 Bohr magnetons per cell. As for the space group: I4/mmm (139).



The following is a DFT calculation (PBE) of a relaxed structure of TmGaNi4.

Unit cell a=7.8672 b=7.8672 c=5.8238 alpha=90.00 beta=90.00 gamma=152.11
Closest atoms and distances in Å follow each position.
Atoms (fractional coordinates):
Tm  0.0987  0.9013  0.7500  11 Ni 2.68-2.93
Tm  0.9013  0.0987  0.2500  11 Ni 2.68-2.93
Ga  0.2326  0.7674  0.2500  7 Ni 2.35-2.47
Ga  0.7674  0.2326  0.7500  7 Ni 2.35-2.47
Ni  0.0770  0.9230  0.2500  1 Ga 2.38, 4 Ni 2.59
Ni  0.3364  0.6636  0.5481  3 Ga 2.35-2.47, 4 Ni 2.35-2.59
Ni  0.3364  0.6636  0.9519  3 Ga 2.35-2.47, 4 Ni 2.35-2.59
Ni  0.5000  0.5000  0.0000  6 Ni 2.51-2.66
Ni  0.5000  0.5000  0.5000  6 Ni 2.51-2.66
Ni  0.6636  0.3364  0.0481  3 Ga 2.35-2.47, 4 Ni 2.35-2.59
Ni  0.6636  0.3364  0.4519  3 Ga 2.35-2.47, 4 Ni 2.35-2.59
Ni  0.9230  0.0770  0.7500  1 Ga 2.38, 4 Ni 2.59

## Properties
The uncorrected energy is -5.4565 eV per atom. As for the total moment: 0.00 Bohr magnetons per cell. Its energy of formation from the pure elements is -0.35 eV/atom. As for the space group: Cmcm (63).



The following is a DFT calculation (PBE) of a relaxed structure of Li6FeS4.

Unit cell a=7.9577 b=7.9577 c=5.7982 alpha=90.00 beta=90.00 gamma=90.00
Closest atoms and distances in Å follow each position.
Atoms (fractional coordinates):
Li  0.0225  0.5225  0.2500  4 S 2.47-2.50
Li  0.0225  0.9775  0.2500  4 S 2.47-2.50
Li  0.2500  0.2500  0.2087  4 S 2.43-2.46
Li  0.2500  0.2500  0.7087  4 S 2.43-2.46
Li  0.4775  0.5225  0.2500  4 S 2.47-2.50
Li  0.4775  0.9775  0.2500  4 S 2.47-2.50
Li  0.5225  0.0225  0.7500  4 S 2.47-2.50
Li  0.5225  0.4775  0.7500  4 S 2.47-2.50
Li  0.7500  0.7500  0.2913  4 S 2.43-2.46
Li  0.7500  0.7500  0.7913  4 S 2.43-2.46
Li  0.9775  0.0225  0.7500  4 S 2.47-2.50
Li  0.9775  0.4775  0.7500  4 S 2.47-2.50
Fe  0.2500  0.7500  0.7500  4 S 2.36
Fe  0.7500  0.2500  0.2500  4 S 2.36
S  0.0030  0.2500  0.4633  1 Fe 2.36, 6 Li 2.43-2.50
S  0.2500  0.0030  0.9633  1 Fe 2.36, 6 Li 2.43-2.50
S  0.2500  0.4970  0.9633  1 Fe 2.36, 6 Li 2.43-2.50
S  0.4970  0.2500  0.4633  1 Fe 2.36, 6 Li 2.43-2.50
S  0.5030  0.7500  0.5367  1 Fe 2.36, 6 Li 2.43-2.50
S  0.7500  0.5030  0.0367  1 Fe 2.36, 6 Li 2.43-2.50
S  0.7500  0.9970  0.0367  1 Fe 2.36, 6 Li 2.43-2.50
S  0.9970  0.7500  0.5367  1 Fe 2.36, 6 Li 2.43-2.50

## Properties
For the formation energy from raw total energies, the calculation gives -12.1 eV per formula unit. As for the energy above the lowest structure with this stoichiometry: 0.0 meV per atom. The uncorrected energy is -4.4132 eV per atom. As for the total moment: 8.00 Bohr magnetons per cell. As for the space group: P4_2/nmc (137).



The following is a DFT calculation (PBE) of a relaxed structure of SrBeCu2.

Unit cell a=3.1459 b=3.1459 c=6.8686 alpha=90.00 beta=90.00 gamma=90.00
Closest atoms and distances in Å follow each position.
Atoms (fractional coordinates):
Sr  0.0000  0.0000  0.0000  4 Sr 3.15, 8 Cu 3.17, 2 Be 3.43
Be  0.0000  0.0000  0.5000  8 Cu 2.51
Cu  0.5000  0.5000  0.3297  1 Cu 2.34, 4 Be 2.51
Cu  0.5000  0.5000  0.6703  1 Cu 2.34, 4 Be 2.51

## Properties
The uncorrected energy is -3.1375 eV per atom. As for the total moment: 0.00 Bohr magnetons per cell. Its energy of formation from the pure elements is 0.26 eV/atom. As for the space group: P4/mmm (123).



The following is a DFT calculation (PBE) of a relaxed structure of AgTePt2.

Unit cell a=3.6893 b=3.6893 c=5.5418 alpha=90.00 beta=90.00 gamma=90.00
Closest atoms and distances in Å follow each position.
Atoms (fractional coordinates):
Ag  0.0000  0.0000  0.0000  6 Pt 2.71-2.83
Te  0.5000  0.5000  0.6661  6 Pt 2.63-2.91
Pt  0.0000  0.0000  0.4887  2 Ag 2.71-2.83, 4 Te 2.79
Pt  0.5000  0.5000  0.1918  2 Te 2.63-2.91, 4 Ag 2.82

## Properties
For the formation energy from raw total energies, the calculation gives 0.2 eV per formula unit. The uncorrected energy is -4.4568 eV per atom. As for the total moment: 0.00 Bohr magnetons per cell. As for the space group: P4mm (99).



The following is a DFT calculation (PBE) of a relaxed structure of NaInGa2Au4.

Unit cell a=9.7764 b=9.7764 c=9.7764 alpha=26.50 beta=26.50 gamma=26.50
Closest atoms and distances in Å follow each position.
Atoms (fractional coordinates):
Na  0.0000  0.0000  0.0000  8 Au 3.15-3.31, 6 Ga 3.19
In  0.5000  0.5000  0.5000  8 Au 2.92-2.94
Ga  0.2674  0.2674  0.2674  3 Au 2.59
Ga  0.7326  0.7326  0.7326  3 Au 2.59
Au  0.1172  0.1172  0.1172  3 In 2.94, 3 Ga 2.97, 3 Au 3.00
Au  0.3969  0.3969  0.3969  3 Ga 2.59
Au  0.6031  0.6031  0.6031  3 Ga 2.59
Au  0.8828  0.8828  0.8828  3 In 2.94, 3 Ga 2.97, 3 Au 3.00

## Properties
The uncorrected energy is -3.0949 eV per atom. As for the total moment: 0.00 Bohr magnetons per cell. Its energy of formation from the pure elements is -0.19 eV/atom. As for the space group: R-3m (166).



The following is a DFT calculation (PBE) of a relaxed structure of PrCdSnHg.

Unit cell a=7.5229 b=7.5229 c=7.5229 alpha=90.00 beta=90.00 gamma=90.00
Closest atoms and distances in Å follow each position.
Atoms (fractional coordinates):
Pr  0.0000  0.0000  0.0000  4 Hg 3.26, 4 Sn 3.26
Pr  0.0000  0.5000  0.5000  4 Hg 3.26, 4 Sn 3.26
Pr  0.5000  0.0000  0.5000  4 Hg 3.26, 4 Sn 3.26
Pr  0.5000  0.5000  0.0000  4 Hg 3.26, 4 Sn 3.26
Cd  0.0000  0.0000  0.5000  4 Hg 3.26, 4 Sn 3.26
Cd  0.0000  0.5000  0.0000  4 Hg 3.26, 4 Sn 3.26
Cd  0.5000  0.0000  0.0000  4 Hg 3.26, 4 Sn 3.26
Cd  0.5000  0.5000  0.5000  4 Hg 3.26, 4 Sn 3.26
Sn  0.2500  0.2500  0.2500  4 Cd 3.26, 4 Pr 3.26
Sn  0.2500  0.7500  0.7500  4 Cd 3.26, 4 Pr 3.26
Sn  0.7500  0.2500  0.7500  4 Cd 3.26, 4 Pr 3.26
Sn  0.7500  0.7500  0.2500  4 Cd 3.26, 4 Pr 3.26
Hg  0.2500  0.2500  0.7500  4 Cd 3.26, 4 Pr 3.26
Hg  0.2500  0.7500  0.2500  4 Cd 3.26, 4 Pr 3.26
Hg  0.7500  0.2500  0.2500  4 Cd 3.26, 4 Pr 3.26
Hg  0.7500  0.7500  0.7500  4 Cd 3.26, 4 Pr 3.26

## Properties
As for the energy above the lowest structure with this stoichiometry: 138.6 meV per atom. The uncorrected energy is -2.8231 eV per atom. As for the total moment: 0.00 Bohr magnetons per cell. Its energy of formation from the pure elements is -0.32 eV/atom. As for the space group: F-43m (216).



The following is a DFT calculation (PBE) of a relaxed structure of Mg3CrRe.

Unit cell a=4.8359 b=4.8359 c=4.8359 alpha=90.00 beta=90.00 gamma=90.00
Closest atoms and distances in Å follow each position.
Atoms (fractional coordinates):
Mg  0.0000  0.0000  0.5000  2 Cr 2.42
Mg  0.0000  0.5000  0.0000  2 Cr 2.42
Mg  0.5000  0.0000  0.0000  2 Cr 2.42
Cr  0.0000  0.0000  0.0000  6 Mg 2.42
Re  0.5000  0.5000  0.5000  12 Mg 3.42

## Properties
As for the energy above the lowest structure with this stoichiometry: 368.0 meV per atom. The uncorrected energy is -3.7234 eV per atom. As for the total moment: 6.96 Bohr magnetons per cell. Its energy of formation from the pure elements is 1.65 eV/atom. As for the space group: Pm-3m (221).